# 1
Entry from the Alexandria database: a relaxed structure of Ba2ZnHg2 (PBE).

Unit cell a=9.3896 b=9.3896 c=4.3823 alpha=90.00 beta=90.00 gamma=90.00
Element x y z (fractional)
Ba1 0.1632 0.3368 0.0000
Ba2 0.3368 0.8368 0.0000
Ba3 0.6632 0.1632 0.0000
Ba4 0.8368 0.6632 0.0000
Zn1 0.0000 0.0000 0.0000
Zn2 0.5000 0.5000 0.0000
Hg1 0.1310 0.6310 0.5000
Hg2 0.3690 0.1310 0.5000
Hg3 0.6310 0.8690 0.5000
Hg4 0.8690 0.3690 0.5000

Computed properties:
Electronic total energy   -13.57 eV per cell
Formation enthalpy at 0 K   -0.21 eV per atom
Polymorph energy (0 for the lowest one)   1.894 kcal/mol of atoms

---

# 2
Entry from the Alexandria database: a relaxed structure of ReSn2Ru (PBE).

Unit cell a=4.6053 b=4.6053 c=4.6053 alpha=60.00 beta=60.00 gamma=60.00
Element x y z (fractional)
Re1 0.0000 0.0000 0.0000
Sn1 0.2500 0.2500 0.2500
Sn2 0.7500 0.7500 0.7500
Ru1 0.5000 0.5000 0.5000

Computed properties:
Electronic total energy   -28.62 eV per cell
Formation enthalpy at 0 K   0.28 eV per atom

---

# 3
Entry from the Alexandria database: a relaxed structure of Th2PH4 (PBE).

Unit cell a=7.5214 b=7.5214 c=7.5214 alpha=30.34 beta=30.34 gamma=30.34
Element x y z (fractional)
Th1 0.2484 0.2484 0.2484
Th2 0.7516 0.7516 0.7516
P1 0.0000 0.0000 0.0000
H1 0.1352 0.1352 0.1352
H2 0.4352 0.4352 0.4352
H3 0.5648 0.5648 0.5648
H4 0.8648 0.8648 0.8648

Computed properties:
Electronic total energy   -39.08 eV per cell

---

# 4
Entry from the Alexandria database: a relaxed structure of NbSnPtN2 (PBE).

Unit cell a=4.0112 b=4.0112 c=5.5169 alpha=90.00 beta=90.00 gamma=90.00
Element x y z (fractional)
Nb1 0.0000 0.0000 0.0000
Sn1 0.5000 0.5000 0.5000
Pt1 0.0000 0.0000 0.5000
N1 0.0000 0.5000 0.0000
N2 0.5000 0.0000 0.0000

Computed properties:
Electronic total energy   -35.22 eV per cell
Energy relative to the elements, uncorrected   308 meV per atom

---

# 5
Entry from the Alexandria database: a relaxed structure of MgBr (PBE).

Unit cell a=5.8263 b=3.6440 c=6.2178 alpha=90.00 beta=116.01 gamma=90.00
Element x y z (fractional)
Mg1 0.1813 0.2500 0.4384
Mg2 0.8187 0.7500 0.5616
Br1 0.3340 0.7500 0.2010
Br2 0.6660 0.2500 0.7990

Computed properties:
Electronic total energy   -10.15 eV per cell
Energy relative to the elements, uncorrected   -904 meV per atom

---

# 6
Entry from the Alexandria database: a relaxed structure of CoHgMo2Ru (PBE).

Unit cell a=4.8747 b=4.8747 c=4.8212 alpha=90.00 beta=90.00 gamma=90.00
Element x y z (fractional)
Co1 0.0000 0.0000 0.0000
Hg1 0.5000 0.5000 0.5000
Mo1 0.0000 0.5000 0.5000
Mo2 0.5000 0.0000 0.5000
Ru1 0.5000 0.5000 0.0000

Computed properties:
Electronic total energy   -23.39 eV per cell
Formation enthalpy at 0 K   2.99 eV per atom

---

# 7
Entry from the Alexandria database: a relaxed structure of TbYCd4 (PBE).

Unit cell a=5.9155 b=5.9155 c=5.9155 alpha=60.00 beta=60.00 gamma=60.00
Element x y z (fractional)
Tb1 0.0000 0.0000 0.0000
Y1 0.2500 0.2500 0.2500
Cd1 0.1249 0.6250 0.6250
Cd2 0.6250 0.1249 0.6250
Cd3 0.6250 0.6250 0.1249
Cd4 0.6250 0.6250 0.6250

Computed properties:
Electronic total energy   -16.36 eV per cell
Formation enthalpy at 0 K   -0.27 eV per atom
Polymorph energy (0 for the lowest one)   1.476 kcal/mol of atoms

---

# 8
Entry from the Alexandria database: a relaxed structure of Na2AuF4 (PBE).

Unit cell a=5.1682 b=5.1682 c=5.1682 alpha=110.59 beta=110.59 gamma=107.25
Element x y z (fractional)
Na1 0.2500 0.7500 0.5000
Na2 0.7500 0.2500 0.5000
Au1 0.0000 0.0000 0.0000
F1 0.2535 0.2535 0.5070
F2 0.2535 0.7465 0.0000
F3 0.7465 0.2535 0.0000
F4 0.7465 0.7465 0.4930

Computed properties:
Electronic total energy   -26.41 eV per cell
Polymorph energy (0 for the lowest one)   0.000 kcal/mol of atoms
Energy relative to the elements, uncorrected   -1859 meV per atom